[1]
The following is a GGA-PBE calculation of TiTcNi3 after structural relaxation, from Alexandria.

Results
Total magnetic moment: 0.0 μB/f.u.
E above lowest polymorph: 0.000 eV/atom
Total DFT energy (no corrections): -0.2216 Ha/atom
Formation energy from the elements: 1.090 eV per atom
Mass density: 6.26 g cm⁻³

Cell lengths 4.404, 4.404, 4.404 Å; angles 90.00, 90.00, 90.00 degrees
Fractional coordinates of all 5 atoms:
Ni 0.000 0.500 0.000
Ni 0.500 0.000 0.000
Ni 0.000 0.000 0.500
Ti 0.500 0.500 0.500
Tc 0.000 0.000 0.000

=====

[2]
The following is a GGA-PBE calculation of Na2Hf2PdSe6 after structural relaxation, from Alexandria.

Results
Total magnetic moment: 0.0 μB/f.u.
Total DFT energy (no corrections): -0.2014 Ha/atom
Mass density: 5.99 g cm⁻³
E_form (uncorrected): -1.06 eV/atom

Cell lengths 6.639, 6.639, 7.441 Å; angles 98.02, 98.02, 120.12 degrees
Fractional coordinates of all 11 atoms:
Se 0.086 0.422 0.724
Se 0.742 0.742 0.697
Se 0.258 0.258 0.303
Se 0.914 0.578 0.276
Se 0.578 0.914 0.276
Se 0.422 0.086 0.724
Hf 0.677 0.323 0.500
Hf 0.323 0.677 0.500
Na 0.158 0.842 0.000
Na 0.842 0.158 0.000
Pd 0.000 0.000 0.500

=====

[3]
The following is a GGA-PBE calculation of ZnCu2Tc after structural relaxation, from Alexandria.

Results
Total magnetic moment: 0.9 μB/f.u.
Total DFT energy (no corrections): -0.1727 Ha/atom
Formation energy from the elements: 0.258 eV per atom
Mass density: 9.08 g cm⁻³

Cell lengths 4.526, 4.526, 4.526 Å; angles 129.99, 129.99, 73.42 degrees
Fractional coordinates of all 4 atoms:
Tc 0.500 0.500 0.000
Zn 0.750 0.250 0.500
Cu 0.250 0.750 0.500
Cu 0.000 0.000 0.000